First-principles (PBE) data for a relaxed structure of TiRuN, as listed in Alexandria.

For the total energy, the calculation gives -9.331 eV/atom. The calculation puts the magnetization at 0.0 μB/f.u. The value obtained for the formation energy (no corrections) is -832.2 meV/atom.

The structure belongs to space group P4/mmm (No. 123); the cell edges are 2.941, 2.941 and 4.048 Å and the angles 90.00°, 90.00° and 90.00°. The inequivalent atoms are Ti at (0.000, 0.000, 0.000), Ru at (0.500, 0.500, 0.500) and N at (0.500, 0.500, 0.000).

***

First-principles (PBE) data for a relaxed structure of OsAuBr2, as listed in Alexandria.

For the total energy, the calculation gives -3.138 eV/atom. The calculation puts the magnetization at 0.0 μB/f.u. The value obtained for the formation energy (no corrections) is 1325.4 meV/atom.

The structure belongs to space group Fm-3m (No. 225); the cell edges are 6.739, 6.739 and 6.739 Å and the angles 90.00°, 90.00° and 90.00°. The inequivalent atoms are Os at (0.000, 0.000, 0.000), Au at (0.000, 0.000, 0.500) and Br at (0.250, 0.250, 0.250).

***

First-principles (PBE) data for a relaxed structure of SmDy3Tc, as listed in Alexandria.

The value obtained for the formation enthalpy at 0 K is 0.677 eV per formula unit. For the total energy, the calculation gives -5.643 eV/atom. The calculation puts the magnetization at 0.2 μB/f.u.

The structure belongs to space group Pm-3m (No. 221); the cell edges are 5.386, 5.386 and 5.386 Å and the angles 90.00°, 90.00° and 90.00°. The inequivalent atoms are Sm at (0.000, 0.000, 0.000), Dy at (0.000, 0.500, 0.500) and Tc at (0.500, 0.500, 0.500).